Entry 1:
Entry from the Alexandria database: a geometry-optimized Nb4OsW2 structure (GGA-PBE).

Calculated values
* energy of formation: 161 meV per atom
* ΔE to the lowest computed polymorph: 0.00 eV/f.u.

Unit cell a=6.348 b=6.348 c=6.417 alpha=90.00 beta=90.00 gamma=90.00
Space group I4/mmm (No. 139)
Unique sites:
Nb 0.250 0.250 0.250
Os 0.000 0.000 0.000
W 0.000 0.500 0.000

Entry 2:
Entry from the Alexandria database: a geometry-optimized SrIn2Ru structure (GGA-PBE).

Calculated values
* energy of formation: 321 meV per atom

Unit cell a=6.096 b=8.680 c=3.531 alpha=90.00 beta=90.00 gamma=90.00
Space group Cmmm (No. 65)
Unique sites:
Sr 0.000 0.000 0.000
In 0.250 0.250 0.500
Ru 0.000 0.500 0.000